A PBEsol-optimized structure of MgGeBr3. Source: the Alexandria database, functional meta-GGA SCAN.

Calculated total energy (eV/atom): -17.063
Magnetic moment (μB/f.u.): 1.007
Crystal system: cubic
N(E_F) (states/eV/f.u.): 1.27
Formation energy without anion corrections (eV per atom): -0.575
Mass density (g/cm3): 4.16

a = 5.1238 Å, b = 5.1238 Å, c = 5.1238 Å
α = 90.00°, β = 90.00°, γ = 90.00°
Space group Pm-3m (No. 221)
One atom of each set of equivalent atoms:
Mg1 0.0000 0.0000 0.0000 x1
Ge1 0.5000 0.5000 0.5000 x1
Br1 0.0000 0.0000 0.5000 x3